[1]
DFT (PBE-GGA) results for an optimized crystal structure of LiAcNdBi.

Cell and atoms, written as POSCAR:
```
LiAcNdBi
1.0
5.647 0.000 0.000
2.823 4.890 0.000
2.823 1.630 4.611
Bi Nd Ac Li
1 1 1 1
Direct
0.750 0.750 0.750 Bi
0.500 0.500 0.500 Nd
0.000 0.000 0.000 Ac
0.250 0.250 0.250 Li
```

Results
electronic total energy	-16.01	eV for the cell shown
energy of formation	-0.335	eV per atom
ρ	7.658	g/cm³

***

[2]
DFT (PBE-GGA) results for an optimized crystal structure of Er12AlTl3.

Cell and atoms, written as POSCAR:
```
Er12AlTl3
1.0
4.782 0.000 0.000
0.000 4.782 0.000
0.000 0.000 19.189
Er Tl Al
12 3 1
Direct
0.500 0.500 0.500 Er
0.500 0.000 0.119 Er
0.500 0.000 0.626 Er
0.500 0.500 0.753 Er
0.000 0.500 0.881 Er
0.500 0.500 0.000 Er
0.500 0.000 0.881 Er
0.000 0.500 0.119 Er
0.500 0.500 0.247 Er
0.000 0.500 0.374 Er
0.000 0.500 0.626 Er
0.500 0.000 0.374 Er
0.000 0.000 0.752 Tl
0.000 0.000 0.248 Tl
0.000 0.000 0.500 Tl
0.000 0.000 0.000 Al
```

Results
electronic total energy	-68.38	eV for the cell shown
energy of formation	-0.174	eV per atom
ρ	10.019	g/cm³

***

[3]
DFT (PBE-GGA) results for an optimized crystal structure of LiPr2PdO5.

Cell and atoms, written as POSCAR:
```
LiPr2PdO5
1.0
-2.844 3.837 3.348
-5.982 -2.292 -2.455
-0.299 -4.631 5.053
Pr Pd Li O
4 2 2 10
Direct
0.500 0.325 0.825 Pr
0.500 0.175 0.325 Pr
0.500 0.675 0.175 Pr
0.500 0.825 0.675 Pr
0.000 0.000 0.500 Pd
0.000 0.500 0.000 Pd
0.000 0.500 0.500 Li
0.000 0.000 0.000 Li
0.749 0.137 0.637 O
0.500 0.500 0.500 O
0.251 0.137 0.637 O
0.749 0.637 0.863 O
0.251 0.637 0.863 O
0.251 0.863 0.363 O
0.749 0.863 0.363 O
0.749 0.363 0.137 O
0.251 0.363 0.137 O
0.500 0.000 0.000 O
```

Results
electronic total energy	-120.43	eV for the cell shown
ρ	5.748	g/cm³

***

[4]
DFT (PBE-GGA) results for an optimized crystal structure of Ca2CdHg.

Cell and atoms, written as POSCAR:
```
Ca2CdHg
1.0
6.524 0.019 0.019
3.198 5.687 -0.019
-4.289 -3.827 3.086
Ca Hg Cd
2 1 1
Direct
0.027 0.027 0.000 Ca
0.734 0.234 0.500 Ca
0.263 0.763 0.500 Hg
0.476 0.476 0.000 Cd
```

Results
E above lowest polymorph	0.0963	eV/atom
electronic total energy	-6.65	eV for the cell shown
energy of formation	-0.358	eV per atom
ρ	5.723	g/cm³

***

[5]
DFT (PBE-GGA) results for an optimized crystal structure of Ti2CrIn.

Cell and atoms, written as POSCAR:
```
Ti2CrIn
1.0
-2.300 1.959 -0.270
-2.836 -0.900 0.589
-0.724 2.652 8.373
Ti Cr In
2 1 1
Direct
0.264 0.264 0.209 Ti
0.736 0.736 0.791 Ti
0.000 0.000 0.000 Cr
0.500 0.500 0.500 In
```

Results
electronic total energy	-27.78	eV for the cell shown
energy of formation	0.092	eV per atom
ρ	6.336	g/cm³

***

[6]
DFT (PBE-GGA) results for an optimized crystal structure of SiSn2PdN.

Cell and atoms, written as POSCAR:
```
SiSn2PdN
1.0
5.123 0.000 0.000
0.000 3.530 0.000
0.000 0.000 5.123
Si Sn Pd N
1 2 1 1
Direct
0.000 0.500 0.000 Si
0.500 0.000 0.000 Sn
0.000 0.000 0.500 Sn
0.500 0.500 0.500 Pd
0.000 0.000 0.000 N
```

Results
electronic total energy	-25.64	eV for the cell shown
ρ	6.918	g/cm³

***

- The highest ρ belongs to which entry?
  Er12AlTl3

***

- Among the records above, which one has the highest ρ?
  Er12AlTl3